The following is a DFT calculation (PBE with a Hubbard U) of a geometry-optimized Li5MnF8 structure.

Properties
Its density of states at the Fermi level is 0.00 states/eV/atom. The total energy comes out at -5.067 eV/atom. For the volume, the calculation gives 10.58 A^3/atom.

```
data_Li5MnF8
_chemical_formula_sum 'Li5 Mn1 F8'
_symmetry_space_group_name_H-M 'P 1'
_symmetry_Int_Tables_number 1
_symmetry_space_group_name_Hall 'P 1'
_cell_length_a 6.0412
_cell_length_b 6.0412
_cell_length_c 6.0412
_cell_angle_alpha 123.74
_cell_angle_beta 122.26
_cell_angle_gamma 84.88
loop_
_atom_site_label
_atom_site_fract_x
_atom_site_fract_y
_atom_site_fract_z
Li1 0.0000 0.0000 0.5000
Li2 0.0000 0.5000 0.0000
Li3 0.5000 0.0000 0.5000
Li4 0.5000 0.0000 0.0000
Li5 0.5000 0.5000 0.5000
Mn1 0.0000 0.0000 0.0000
F1 0.2748 0.7748 0.5000
F2 0.2338 0.7716 0.0054
F3 0.2370 0.2370 0.0000
F4 0.2338 0.2284 0.4622
F5 0.7662 0.7716 0.5378
F6 0.7630 0.7630 0.0000
F7 0.7662 0.2284 0.9946
F8 0.7252 0.2252 0.5000
```